CsSn3Ru: relaxed, GGA-PBE.

```
CsSn3Ru
1.0
5.297 0.000 0.000
0.000 5.297 0.000
0.000 0.000 5.297
Sn Ru Cs
3 1 1
Direct
0.500 0.000 0.000
0.000 0.500 0.000
0.000 0.000 0.500
0.000 0.000 0.000
0.500 0.500 0.500
```

Results
DFT formation energy	0.59	eV/f.u.
SG	Pm-3m (221)
N(E_F)	9.671	states/eV/cell
VASP energy	-4.3099	eV/atom
energy relative to the lowest polymorph listed for this composition	0	meV/atom



Dy5CdIn4: relaxed, GGA-PBE.

```
Dy5CdIn4
1.0
3.749 0.000 0.000
0.000 3.749 0.000
0.000 0.000 18.833
In Dy Cd
4 5 1
Direct
0.000 0.000 0.803
0.000 0.000 0.600
0.000 0.000 0.197
0.000 0.000 0.400
0.500 0.500 0.500
0.500 0.500 0.902
0.500 0.500 0.098
0.500 0.500 0.299
0.500 0.500 0.701
0.000 0.000 0.000
```

Results
DFT formation energy	-4.40	eV/f.u.
SG	P4/mmm (123)
N(E_F)	7.511	states/eV/cell
VASP energy	-3.9275	eV/atom



Ca3ErPt4: relaxed, GGA-PBE.

```
Ca3ErPt4
1.0
4.736 0.000 -1.278
-0.341 4.728 -1.262
-0.432 -0.498 7.812
Pt Ca Er
4 3 1
Direct
0.119 0.119 0.237
0.619 0.619 0.237
0.881 0.881 0.763
0.381 0.381 0.763
0.248 0.748 0.495
0.752 0.252 0.505
0.000 0.500 0.000
0.500 0.000 0.000
```

Results
DFT formation energy	-7.98	eV/f.u.
SG	I4/mmm (139)
N(E_F)	2.671	states/eV/cell
VASP energy	-5.3384	eV/atom